NaSrMg4: optimized geometry, PBE-GGA.

Properties
Energy ... -1.569 eV/atom

The structure in CIF format:
```
data_NaSrMg4
_symmetry_space_group_name_H-M 'F -4 3 m'
_symmetry_Int_Tables_number 216
_symmetry_space_group_name_Hall 'F -4 2 3'
_cell_length_a 8.926
_cell_length_b 8.926
_cell_length_c 8.926
_cell_angle_alpha 90.00
_cell_angle_beta 90.00
_cell_angle_gamma 90.00
loop_
_atom_site_label
_atom_site_type_symbol
_atom_site_fract_x
_atom_site_fract_y
_atom_site_fract_z
Na1 Na 0.000 0.000 0.000
Sr1 Sr 0.250 0.250 0.750
Mg1 Mg 0.125 0.125 0.375
```

=====

YMg2TcPb: optimized geometry, PBE-GGA.

Properties
Energy ... -3.549 eV/atom

The structure in CIF format:
```
data_YMg2TcPb
_symmetry_space_group_name_H-M 'P 4/m m m'
_symmetry_Int_Tables_number 123
_symmetry_space_group_name_Hall '-P 4 2'
_cell_length_a 5.731
_cell_length_b 5.731
_cell_length_c 4.808
_cell_angle_alpha 90.00
_cell_angle_beta 90.00
_cell_angle_gamma 90.00
loop_
_atom_site_label
_atom_site_type_symbol
_atom_site_fract_x
_atom_site_fract_y
_atom_site_fract_z
Y1 Y 0.000 0.000 0.000
Mg1 Mg 0.000 0.500 0.000
Tc1 Tc 0.000 0.000 0.500
Pb1 Pb 0.500 0.500 0.500
```

=====

Sr2ZnBiPt: optimized geometry, PBE-GGA.

Properties
Energy ... -3.510 eV/atom

The structure in CIF format:
```
data_Sr2ZnBiPt
_symmetry_space_group_name_H-M 'P 4/m m m'
_symmetry_Int_Tables_number 123
_symmetry_space_group_name_Hall '-P 4 2'
_cell_length_a 5.852
_cell_length_b 5.852
_cell_length_c 4.824
_cell_angle_alpha 90.00
_cell_angle_beta 90.00
_cell_angle_gamma 90.00
loop_
_atom_site_label
_atom_site_type_symbol
_atom_site_fract_x
_atom_site_fract_y
_atom_site_fract_z
Sr1 Sr 0.000 0.500 0.000
Zn1 Zn 0.000 0.000 0.500
Bi1 Bi 0.500 0.500 0.500
Pt1 Pt 0.000 0.000 0.000
```

=====

Ac2ZnSb2O2: optimized geometry, PBE-GGA.

Properties
ΔE_f (raw) ... -1.473 eV/atom

The structure in CIF format:
```
data_Ac2ZnSb2O2
_symmetry_space_group_name_H-M 'I 4/m m m'
_symmetry_Int_Tables_number 139
_symmetry_space_group_name_Hall '-I 4 2'
_cell_length_a 4.250
_cell_length_b 4.250
_cell_length_c 17.397
_cell_angle_alpha 90.00
_cell_angle_beta 90.00
_cell_angle_gamma 90.00
loop_
_atom_site_label
_atom_site_type_symbol
_atom_site_fract_x
_atom_site_fract_y
_atom_site_fract_z
Ac1 Ac 0.000 0.000 0.102
Zn1 Zn 0.000 0.000 0.500
Sb1 Sb 0.000 0.000 0.304
O1 O 0.000 0.500 0.000
```

=====

Rb2Na4As: optimized geometry, PBE-GGA.

Properties
Energy ... -1.824 eV/atom

The structure in CIF format:
```
data_Rb2Na4As
_symmetry_space_group_name_H-M 'I 4/m m m'
_symmetry_Int_Tables_number 139
_symmetry_space_group_name_Hall '-I 4 2'
_cell_length_a 5.715
_cell_length_b 5.715
_cell_length_c 22.467
_cell_angle_alpha 90.00
_cell_angle_beta 90.00
_cell_angle_gamma 90.00
loop_
_atom_site_label
_atom_site_type_symbol
_atom_site_fract_x
_atom_site_fract_y
_atom_site_fract_z
Rb1 Rb 0.000 0.000 0.181
Na1 Na 0.000 0.000 0.375
Na2 Na 0.000 0.500 0.000
As1 As 0.000 0.000 0.500
```

=====

KTe2SeN: optimized geometry, PBE-GGA.

Properties
Distance to the lowest polymorph of the same formula ... 0.000 eV per atom
ΔE_f (raw) ... 0.441 eV/atom

The structure in CIF format:
```
data_KTe2SeN
_symmetry_space_group_name_H-M 'P 4/m m m'
_symmetry_Int_Tables_number 123
_symmetry_space_group_name_Hall '-P 4 2'
_cell_length_a 6.332
_cell_length_b 6.332
_cell_length_c 3.602
_cell_angle_alpha 90.00
_cell_angle_beta 90.00
_cell_angle_gamma 90.00
loop_
_atom_site_label
_atom_site_type_symbol
_atom_site_fract_x
_atom_site_fract_y
_atom_site_fract_z
K1 K 0.000 0.000 0.000
Te1 Te 0.000 0.500 0.500
Se1 Se 0.500 0.500 0.500
N1 N 0.500 0.500 0.000
```